## Al4Os (PBE)

Data for Al4Os after structural relaxation.

Cell and atoms, written as extended XYZ:
```
5
Lattice="-1.733 1.733 6.799 1.733 -1.733 6.799 1.733 1.733 -6.799" Properties=species:S:1:pos:R:3 pbc="T T T"
Al 0.000 0.000 8.066
Al 0.000 1.733 3.400
Al 0.000 0.000 5.532
Al 1.733 0.000 3.400
Os 0.000 0.000 0.000
```

Summary:
* V: 81.7 Å³/f.u.
* total magnetization: 0.221 Bohr magnetons per cell
* polymorph energy (0 for the lowest one): 309 kJ/mol of formula units
* E_form: 375.5 meV per atom